The following is a DFT calculation (PBE) of an optimized crystal structure of TbNiAu.

* formation energy from the elements: -0.564 eV/atom
* ρ: 11.395 g/cm3
* DFT total energy: -92.28 eV for the cell shown
* volume: 362.5 Å³ per cell

a b c (Å): 4.4206 4.4206 21.4266
angles (deg): 90.00 90.00 120.00
Space group R-3m (No. 166, hexagonal axes)
Asymmetric unit:
Tb1 0.0000 0.0000 0.2417 (multiplicity 6)
Ni1 0.0000 0.0000 0.3676 (multiplicity 6)
Au1 0.0000 0.0000 0.0000 (multiplicity 3)
Au2 0.0000 0.0000 0.5000 (multiplicity 3)

=====

The following is a DFT calculation (PBE) of an optimized crystal structure of ZnCrSbI2.

* ρ: 4.909 g/cm3
* DFT total energy: -11.90 eV for the cell shown
* volume: 166.7 Å³ per cell

a b c (Å): 5.636 5.636 5.249
angles (deg): 90.00 90.00 90.00
Space group P4/mmm (No. 123)
Asymmetric unit:
Zn1 0.000 0.000 0.000 (multiplicity 1)
Cr1 0.500 0.500 0.500 (multiplicity 1)
Sb1 0.000 0.000 0.500 (multiplicity 1)
I1 0.000 0.500 0.000 (multiplicity 2)

=====

no.,Fermi-level density of states (states/eV/cell)
1,8.9
2,12.0